Computed, not measured: Dy2NiPb after structural relaxation at the PBE level of DFT.

Summary:
Formation energy from the elements ... -0.41 eV/atom

abc: 3.4407 3.4407 8.0946
angles: 90.00 90.00 90.00
With the nearest neighbours (Å) after each atom.
Space group P4/mmm (No. 123)
Asymmetric unit:
Dy (0.0000, 0.0000, 0.2008)  4 Ni 2.93, 1 Dy 3.25
Ni (0.5000, 0.5000, 0.0000)  8 Dy 2.93
Pb (0.5000, 0.5000, 0.5000)  8 Dy 3.43, 4 Pb 3.44

***

Computed, not measured: DyNiPdPb after structural relaxation at the PBE level of DFT.

Summary:
Formation energy from the elements ... -0.45 eV/atom

abc: 6.7647 6.7647 6.7647
angles: 90.00 90.00 90.00
With the nearest neighbours (Å) after each atom.
Space group F-43m (No. 216)
Asymmetric unit:
Dy (0.0000, 0.0000, 0.0000)  4 Ni 2.93, 4 Pd 2.93
Ni (0.2500, 0.2500, 0.7500)  4 Pb 2.93, 4 Dy 2.93
Pd (0.2500, 0.2500, 0.2500)  4 Pb 2.93, 4 Dy 2.93
Pb (0.0000, 0.0000, 0.5000)  4 Pd 2.93, 4 Ni 2.93

***

Computed, not measured: DyNiPtPb after structural relaxation at the PBE level of DFT.

Summary:
Formation energy from the elements ... -0.49 eV/atom

abc: 6.7895 6.7895 6.7895
angles: 90.00 90.00 90.00
With the nearest neighbours (Å) after each atom.
Space group F-43m (No. 216)
Asymmetric unit:
Dy (0.0000, 0.0000, 0.0000)  4 Ni 2.94, 4 Pt 2.94
Ni (0.2500, 0.2500, 0.7500)  4 Pb 2.94, 4 Dy 2.94
Pt (0.2500, 0.2500, 0.2500)  4 Pb 2.94, 4 Dy 2.94
Pb (0.0000, 0.0000, 0.5000)  4 Ni 2.94, 4 Pt 2.94

***

Computed, not measured: DyNiRuPb after structural relaxation at the PBE level of DFT.

Summary:
Formation energy from the elements ... -0.11 eV/atom

abc: 6.6609 6.6609 6.6609
angles: 90.00 90.00 90.00
With the nearest neighbours (Å) after each atom.
Space group F-43m (No. 216)
Asymmetric unit:
Dy (0.0000, 0.0000, 0.0000)  4 Ru 2.88, 4 Ni 2.88
Ni (0.2500, 0.2500, 0.2500)  4 Pb 2.88, 4 Dy 2.88
Ru (0.2500, 0.2500, 0.7500)  4 Pb 2.88, 4 Dy 2.88
Pb (0.0000, 0.0000, 0.5000)  4 Ru 2.88, 4 Ni 2.88

***

Computed, not measured: DyZnNiPb after structural relaxation at the PBE level of DFT.

Summary:
Formation energy from the elements ... -0.20 eV/atom

abc: 6.8076 6.8076 6.8076
angles: 90.00 90.00 90.00
With the nearest neighbours (Å) after each atom.
Space group F-43m (No. 216)
Asymmetric unit:
Dy (0.0000, 0.0000, 0.0000)  4 Ni 2.95, 4 Zn 2.95
Zn (0.2500, 0.2500, 0.2500)  4 Pb 2.95, 4 Dy 2.95
Ni (0.2500, 0.2500, 0.7500)  4 Pb 2.95, 4 Dy 2.95
Pb (0.0000, 0.0000, 0.5000)  4 Ni 2.95, 4 Zn 2.95

***

Computed, not measured: Dy8NiPd2 after structural relaxation at the PBE level of DFT.

Summary:
Formation energy from the elements ... -0.37 eV/atom
Energy above the lowest structure with this stoichiometry ... 0 meV per atom

abc: 17.2667 5.0503 6.7016
angles: 90.00 103.90 90.00
With the nearest neighbours (Å) after each atom.
Space group C2/m (No. 12)
Asymmetric unit:
Dy (0.0315, 0.0000, 0.2851)  1 Pd 2.85, 2 Ni 3.02
Dy (0.0890, 0.5000, 0.9458)  1 Ni 3.01, 1 Dy 3.32
Dy (0.1625, 0.5000, 0.4766)  3 Pd 2.80-3.10, 1 Ni 2.85
Dy (0.2043, 0.0000, 0.8250)  1 Pd 2.81
Ni (0.0000, 0.5000, 0.5000)  8 Dy 2.85-3.02
Pd (0.1906, 0.0000, 0.2346)  5 Dy 2.80-3.10

***

Computed, not measured: Dy8NiPd2 after structural relaxation at the PBE level of DFT.

Summary:
Formation energy from the elements ... -0.28 eV/atom
Energy above the lowest structure with this stoichiometry ... 97 meV per atom

abc: 8.3485 12.7751 6.0392
angles: 90.00 111.31 90.00
With the nearest neighbours (Å) after each atom.
Space group Cm (No. 8)
Asymmetric unit:
Dy (0.0000, 0.0000, 0.0000)  1 Ni 3.03, 2 Pd 3.04
Dy (0.0706, 0.3716, 0.7823)  2 Pd 2.81-2.85, 1 Ni 2.94
Dy (0.1427, 0.1286, 0.5559)  2 Pd 2.84-2.89, 1 Ni 2.91
Dy (0.2120, 0.5000, 0.3651)  1 Ni 2.98, 2 Pd 3.05
Dy (0.3532, 0.2002, 0.1802)  1 Ni 2.82
Ni (0.3582, 0.0000, 0.3785)  8 Dy 2.82-3.03
Pd (0.3606, 0.3112, 0.6831)  6 Dy 2.81-3.05

***

Computed, not measured: Dy3NiPd2 after structural relaxation at the PBE level of DFT.

Summary:
Formation energy from the elements ... -0.71 eV/atom

abc: 11.4180 4.1215 11.3168
angles: 90.00 90.00 90.00
With the nearest neighbours (Å) after each atom.
Space group Pnma (No. 62)
Asymmetric unit:
Dy (0.0507, 0.2500, 0.1258)  1 Ni 2.92, 5 Pd 2.94-3.04
Dy (0.1200, 0.7500, 0.5570)  3 Ni 2.89-2.93, 5 Pd 2.95-3.13
Dy (0.2237, 0.2500, 0.8030)  2 Ni 2.81, 4 Pd 2.88-3.10
Ni (0.1236, 0.2500, 0.3728)  3 Pd 2.58-2.61, 2 Dy 2.81
Pd (0.0046, 0.7500, 0.3057)  2 Ni 2.58, 1 Dy 2.88
Pd (0.1849, 0.7500, 0.9993)  1 Ni 2.61

***

Computed, not measured: DyNiPd2 after structural relaxation at the PBE level of DFT.

Summary:
Formation energy from the elements ... -0.51 eV/atom
Energy above the lowest structure with this stoichiometry ... 133 meV per atom

abc: 4.3500 4.3500 13.2512
angles: 90.00 90.00 120.00
With the nearest neighbours (Å) after each atom.
Space group R-3m (No. 166, hexagonal axes)
Asymmetric unit:
Dy (0.0000, 0.0000, 0.0000)  8 Pd 2.85-2.96
Ni (0.0000, 0.0000, 0.5000)  6 Pd 2.59
Pd (0.0000, 0.0000, 0.2153)  3 Ni 2.59, 3 Pd 2.82, 1 Dy 2.85

***

Computed, not measured: DyNiPd after structural relaxation at the PBE level of DFT.

Summary:
Formation energy from the elements ... -0.44 eV/atom
Energy above the lowest structure with this stoichiometry ... 186 meV per atom

abc: 3.4500 3.4500 8.9747
angles: 90.00 90.00 90.00
With the nearest neighbours (Å) after each atom.
Space group I4mm (No. 107)
Asymmetric unit:
Dy (0.0000, 0.0000, 0.0000)  5 Ni 2.87-2.97, 5 Pd 2.88-2.92
Ni (0.0000, 0.0000, 0.3310)  4 Pd 2.79, 5 Dy 2.87-2.97
Pd (0.0000, 0.0000, 0.6796)  4 Ni 2.79, 5 Dy 2.88-2.92

***

Computed, not measured: DyNi4Pd after structural relaxation at the PBE level of DFT.

Summary:
Formation energy from the elements ... -0.36 eV/atom

abc: 6.9294 6.9294 6.9294
angles: 90.00 90.00 90.00
With the nearest neighbours (Å) after each atom.
Space group F-43m (No. 216)
Asymmetric unit:
Dy (0.0000, 0.0000, 0.0000)  12 Ni 2.87, 4 Pd 3.00
Ni (0.1244, 0.1244, 0.6244)  6 Ni 2.44-2.46
Pd (0.2500, 0.2500, 0.2500)  12 Ni 2.87, 4 Dy 3.00

***

Computed, not measured: DyNiPd after structural relaxation at the PBE level of DFT.

Summary:
Formation energy from the elements ... -0.22 eV/atom
Energy above the lowest structure with this stoichiometry ... 412 meV per atom

abc: 6.8444 6.8444 5.3816
angles: 90.00 90.00 90.00
With the nearest neighbours (Å) after each atom.
Space group P4_12_12 (No. 92)
Asymmetric unit:
Dy (0.2375, 0.2375, 0.0000)  3 Ni 2.58-2.89, 2 Pd 2.73
Ni (0.0293, 0.0293, 0.5000)  3 Pd 2.47-2.50, 1 Dy 2.58, 2 Ni 2.75
Pd (0.2151, 0.7849, 0.7500)  3 Ni 2.47-2.50, 2 Dy 2.73

***

Computed, not measured: DyNi2Pd after structural relaxation at the PBE level of DFT.

Summary:
Formation energy from the elements ... -0.33 eV/atom

abc: 6.2980 6.2980 6.2980
angles: 90.00 90.00 90.00
With the nearest neighbours (Å) after each atom.
Space group Fm-3m (No. 225)
Asymmetric unit:
Dy (0.0000, 0.0000, 0.0000)  8 Ni 2.73
Ni (0.2500, 0.2500, 0.2500)  4 Dy 2.73, 4 Pd 2.73
Pd (0.0000, 0.0000, 0.5000)  8 Ni 2.73

***

Computed, not measured: Dy12NiPd6 after structural relaxation at the PBE level of DFT.

Summary:
Formation energy from the elements ... -0.51 eV/atom

abc: 12.4428 12.4428 11.7448
angles: 90.00 90.00 120.00
With the nearest neighbours (Å) after each atom.
Space group R-3 (No. 148, hexagonal axes)
Asymmetric unit:
Dy (0.0256, 0.2089, 0.3907)  4 Pd 2.78-3.06
Dy (0.0411, 0.1987, 0.8816)  1 Ni 2.65, 2 Pd 2.86-2.90
Ni (0.0000, 0.0000, 0.0000)  6 Dy 2.65
Pd (0.0437, 0.2684, 0.6456)  6 Dy 2.78-3.06

***

Computed, not measured: DyNiPd after structural relaxation at the PBE level of DFT.

Summary:
Formation energy from the elements ... -0.63 eV/atom
Energy above the lowest structure with this stoichiometry ... 0 meV per atom

abc: 5.1573 5.4470 7.3569
angles: 90.00 90.00 90.00
With the nearest neighbours (Å) after each atom.
Space group Imma (No. 74)
Asymmetric unit:
Dy (0.0000, 0.2500, 0.1182)  6 Ni 3.00-3.17, 6 Pd 3.04-3.12, 4 Dy 3.23
Ni (0.2500, 0.2500, 0.7500)  2 Ni 2.58, 4 Pd 2.63
Pd (0.0000, 0.0000, 0.5000)  4 Ni 2.63, 2 Pd 2.72

***

Computed, not measured: DyNiPd after structural relaxation at the PBE level of DFT.

Summary:
Formation energy from the elements ... -0.56 eV/atom
Energy above the lowest structure with this stoichiometry ... 70 meV per atom

abc: 4.2391 4.2391 3.6569
angles: 90.00 90.00 120.00
With the nearest neighbours (Å) after each atom.
Space group P-6m2 (No. 187)
Asymmetric unit:
Dy (0.0000, 0.0000, 0.0000)  6 Ni 3.06, 6 Pd 3.06
Ni (0.3333, 0.6667, 0.5000)  3 Pd 2.45
Pd (0.6667, 0.3333, 0.5000)  3 Ni 2.45

***

Computed, not measured: Dy2Ni15Pd2 after structural relaxation at the PBE level of DFT.

Summary:
Formation energy from the elements ... -0.22 eV/atom

abc: 8.4126 8.4126 12.1328
angles: 90.00 90.00 120.00
With the nearest neighbours (Å) after each atom.
Space group R-3m (No. 166, hexagonal axes)
Asymmetric unit:
Dy (0.0000, 0.0000, 0.1567)  1 Pd 2.86, 15 Ni 2.96-3.17
Ni (0.0000, 0.2986, 0.5000)  8 Ni 2.39-2.53
Ni (0.0000, 0.5000, 0.0000)  8 Ni 2.39-2.46, 2 Pd 2.53
Ni (0.0060, 0.5030, 0.6541)  8 Ni 2.40-2.53, 1 Pd 2.62
Pd (0.0000, 0.0000, 0.3927)  12 Ni 2.53-2.83, 1 Pd 2.60

***

Computed, not measured: DyNi4Pd8 after structural relaxation at the PBE level of DFT.

Summary:
Formation energy from the elements ... -0.24 eV/atom

abc: 8.8435 8.8435 5.0068
angles: 90.00 90.00 90.00
With the nearest neighbours (Å) after each atom.
Space group I4/mmm (No. 139)
Asymmetric unit:
Dy (0.0000, 0.0000, 0.0000)  12 Pd 3.05-3.16, 8 Ni 3.37
Ni (0.2500, 0.2500, 0.2500)  2 Ni 2.50, 8 Pd 2.56-2.68
Pd (0.0000, 0.2173, 0.5000)  4 Ni 2.56, 6 Pd 2.72-2.85
Pd (0.0000, 0.3447, 0.0000)  4 Ni 2.68, 5 Pd 2.75-2.85

***

Computed, not measured: Dy7Ni2Pd2 after structural relaxation at the PBE level of DFT.

Summary:
Formation energy from the elements ... -0.47 eV/atom
Energy above the lowest structure with this stoichiometry ... 0 meV per atom

abc: 3.7120 15.3706 9.4294
angles: 90.00 90.00 90.00
With the nearest neighbours (Å) after each atom.
Space group Imm2 (No. 44)
Asymmetric unit:
Dy (0.0000, 0.0000, 0.0000)  2 Pd 2.84
Dy (0.0000, 0.1181, 0.3835)  2 Ni 2.87, 3 Pd 2.94-2.98
Dy (0.0000, 0.3055, 0.5882)  3 Ni 2.77-2.96
Dy (0.0000, 0.3732, 0.2359)  2 Pd 2.88, 2 Ni 2.90
Ni (0.0000, 0.2398, 0.8837)  7 Dy 2.77-2.96
Pd (0.0000, 0.0000, 0.6284)  6 Dy 2.88-2.94
Pd (0.0000, 0.5000, 0.7281)  6 Dy 2.84-2.98

***

Computed, not measured: DyNiPd2 after structural relaxation at the PBE level of DFT.

Summary:
Formation energy from the elements ... -0.65 eV/atom
Energy above the lowest structure with this stoichiometry ... 0 meV per atom

abc: 4.0789 4.0789 3.9872
angles: 90.00 90.00 90.00
With the nearest neighbours (Å) after each atom.
Space group P4/mmm (No. 123)
Asymmetric unit:
Dy (0.0000, 0.0000, 0.0000)  8 Pd 2.85, 4 Ni 2.88
Ni (0.5000, 0.5000, 0.0000)  8 Pd 2.85, 4 Dy 2.88
Pd (0.0000, 0.5000, 0.5000)  4 Dy 2.85, 4 Ni 2.85, 4 Pd 2.88

***

Computed, not measured: Dy3NiPd2 after structural relaxation at the PBE level of DFT.

Summary:
Formation energy from the elements ... -0.75 eV/atom

abc: 5.5393 4.4738 10.5727
angles: 90.00 97.11 90.00
With the nearest neighbours (Å) after each atom.
Space group P2_1/m (No. 11)
Asymmetric unit:
Dy (0.0971, 0.2500, 0.2827)  5 Pd 2.92-3.08, 2 Ni 2.94
Dy (0.2385, 0.2500, 0.9569)  4 Ni 2.91-2.99, 3 Pd 2.91-2.98
Dy (0.3870, 0.2500, 0.6242)  6 Pd 2.88-3.00, 1 Ni 2.93
Ni (0.2769, 0.7500, 0.1393)  2 Pd 2.80, 7 Dy 2.91-2.99
Pd (0.1469, 0.7500, 0.4709)  2 Pd 2.88, 7 Dy 2.88-3.08
Pd (0.4231, 0.7500, 0.8090)  2 Ni 2.80, 7 Dy 2.91-2.98

***

Computed, not measured: Dy7Ni2Pd2 after structural relaxation at the PBE level of DFT.

Summary:
Formation energy from the elements ... -0.31 eV/atom
Energy above the lowest structure with this stoichiometry ... 161 meV per atom

abc: 7.6084 10.7488 6.8317
angles: 90.00 90.00 90.00
With the nearest neighbours (Å) after each atom.
Space group Cmmm (No. 65)
Asymmetric unit:
Dy (0.0000, 0.0000, 0.0000)  2 Ni 3.13
Dy (0.0000, 0.5000, 0.2525)  2 Ni 2.83, 2 Pd 2.92
Dy (0.2500, 0.2500, 0.2575)  2 Ni 2.63
Ni (0.0000, 0.2908, 0.0000)  6 Dy 2.63-2.83
Pd (0.1879, 0.0000, 0.5000)  1 Pd 2.86, 6 Dy 2.92-3.19

***

Computed, not measured: Dy3Si6Ni2Pd after structural relaxation at the PBE level of DFT.

Summary:
ΔE_f (raw) ... -370 meV/atom

abc: 5.6507 5.6507 7.8928
angles: 90.00 90.00 120.00
With the nearest neighbours (Å) after each atom.
Space group P-3m1 (No. 164)
Asymmetric unit:
Dy (0.0000, 0.0000, 0.0000)  6 Si 2.87
Dy (0.3333, 0.6667, 0.6106)  9 Si 2.97-2.98
Si (0.1899, 0.3797, 0.2772)  1 Ni 2.33, 2 Si 2.43, 1 Pd 2.56
Ni (0.3333, 0.6667, 0.0408)  3 Si 2.33
Pd (0.0000, 0.0000, 0.5000)  6 Si 2.56

***

Computed, not measured: DySi2NiPd after structural relaxation at the PBE level of DFT.

Summary:
ΔE_f (raw) ... -871 meV/atom

abc: 4.0596 4.0596 9.8142
angles: 90.00 90.00 90.00
With the nearest neighbours (Å) after each atom.
Space group I-4m2 (No. 119)
Asymmetric unit:
Dy (0.0000, 0.0000, 0.0000)  8 Si 3.10, 4 Pd 3.18, 4 Ni 3.18
Si (0.0000, 0.0000, 0.3798)  1 Si 2.36, 2 Ni 2.40, 2 Pd 2.40
Ni (0.0000, 0.5000, 0.2500)  4 Si 2.40
Pd (0.0000, 0.5000, 0.7500)  4 Si 2.40